{
  "formula": "FeB3",
  "functional": "PBE",
  "state": "optimized geometry",
  "lattice": [[4.2852, 0.0000, 0.0000], [-2.1426, 3.7111, 0.0000], [0.0000, 0.0000, 3.3774]],
  "species": ["Fe", "Fe", "B", "B", "B", "B", "B", "B"],
  "frac_coords": [[0.3333, 0.6667, 0.2500], [0.6667, 0.3333, 0.7500], [0.1427, 0.2853, 0.7500], [0.1427, 0.8573, 0.7500], [0.2853, 0.1427, 0.2500], [0.7147, 0.8573, 0.7500], [0.8573, 0.1427, 0.2500], [0.8573, 0.7147, 0.2500]],
  "polymorph_energy_mev_per_atom": 0,
  "sg": "P6_3/mmc, No. 194",
  "energy_ev_per_cell": -54.19,
  "crystal_system": "hexagonal"
}


{
  "formula": "Na2ScZnH6",
  "functional": "PBE",
  "state": "optimized geometry",
  "lattice": [[0.0000, 3.8167, 3.8167], [3.8167, 0.0000, 3.8167], [3.8167, 3.8167, 0.0000]],
  "species": ["Na", "Na", "Sc", "Zn", "H", "H", "H", "H", "H", "H"],
  "frac_coords": [[0.2500, 0.2500, 0.2500], [0.7500, 0.7500, 0.7500], [0.0000, 0.0000, 0.0000], [0.5000, 0.5000, 0.5000], [0.2611, 0.2611, 0.7389], [0.2611, 0.7389, 0.2611], [0.2611, 0.7389, 0.7389], [0.7389, 0.2611, 0.2611], [0.7389, 0.2611, 0.7389], [0.7389, 0.7389, 0.2611]],
  "sg": "Fm-3m, No. 225",
  "energy_ev_per_cell": -31.13,
  "crystal_system": "cubic"
}